Entry 1:
Compound: VPd7Pt2
Source: Alexandria
Functional: GGA-PBE
Structure: relaxed

Output
SG: No. 65
magnetic moment: 0.0 Bohr magnetons per cell
final energy: -5.57 eV per atom
crystal system: orthorhombic

Cell: 8.825 8.825 2.700 Å, 90.00 90.00 123.80°
Element x y z (fractional)
V: 0.000 0.000 0.000
Pd: 0.129 0.305 0.500
Pd: 0.185 0.815 0.000
Pd: 0.305 0.129 0.500
Pd: 0.500 0.500 0.500
Pd: 0.695 0.871 0.500
Pd: 0.815 0.185 0.000
Pd: 0.871 0.695 0.500
Pt: 0.330 0.670 0.500
Pt: 0.670 0.330 0.500

---

Entry 2:
Compound: PaSe2I
Source: Alexandria
Functional: GGA-PBE
Structure: relaxed

Output
SG: No. 160
magnetic moment: 0.0 Bohr magnetons per cell
energy relative to the elements, uncorrected: -1.064 eV/atom
crystal system: trigonal
distance to the lowest polymorph of the same formula: 0.42 eV/f.u.

Cell: 8.261 8.261 8.261 Å, 32.33 32.33 32.33°
Element x y z (fractional)
Pa: 0.000 0.000 0.000
Se: 0.367 0.367 0.367
Se: 0.610 0.610 0.610
I: 0.129 0.129 0.129

---

Entry 3:
Compound: Hg4AsBr4
Source: Alexandria
Functional: GGA-PBE
Structure: relaxed

Output
SG: No. 86
magnetic moment: 0.0 Bohr magnetons per cell
energy relative to the elements, uncorrected: -0.265 eV/atom
crystal system: tetragonal

Cell: 9.540 9.540 6.754 Å, 90.00 90.00 90.00°
Element x y z (fractional)
Hg: 0.037 0.265 0.011
Hg: 0.235 0.037 0.489
Hg: 0.265 0.463 0.489
Hg: 0.463 0.235 0.011
Hg: 0.537 0.765 0.989
Hg: 0.735 0.537 0.511
Hg: 0.765 0.963 0.511
Hg: 0.963 0.735 0.989
As: 0.250 0.250 0.250
As: 0.750 0.750 0.750
Br: 0.056 0.799 0.352
Br: 0.201 0.556 0.852
Br: 0.299 0.944 0.852
Br: 0.444 0.701 0.352
Br: 0.556 0.299 0.648
Br: 0.701 0.056 0.148
Br: 0.799 0.444 0.148
Br: 0.944 0.201 0.648

---

Entry 4:
Compound: CoNiBr2
Source: Alexandria
Functional: GGA-PBE
Structure: relaxed

Output
SG: No. 10
magnetic moment: 3.0 Bohr magnetons per cell
energy relative to the elements, uncorrected: 0.242 eV/atom
crystal system: monoclinic
distance to the lowest polymorph of the same formula: 0.75 eV/f.u.

Cell: 4.911 3.593 5.148 Å, 90.00 90.14 90.00°
Element x y z (fractional)
Co: 0.000 0.000 0.000
Ni: 0.500 0.000 0.000
Br: 0.247 0.500 0.245
Br: 0.753 0.500 0.755

---

Entry 5:
Compound: ScP2Ir
Source: Alexandria
Functional: GGA-PBE
Structure: relaxed

Output
SG: No. 216
magnetic moment: 0.0 Bohr magnetons per cell
crystal system: cubic
distance to the lowest polymorph of the same formula: 2.97 eV/f.u.

Cell: 4.465 4.465 4.465 Å, 60.00 60.00 60.00°
Element x y z (fractional)
Sc: 0.000 0.000 0.000
P: 0.250 0.250 0.250
P: 0.500 0.500 0.500
Ir: 0.750 0.750 0.750

---

Entry 6:
Compound: CuHgW
Source: Alexandria
Functional: GGA-PBE
Structure: relaxed

Output
SG: No. 156
magnetic moment: 0.0 Bohr magnetons per cell
crystal system: trigonal
distance to the lowest polymorph of the same formula: 0.90 eV/f.u.

Cell: 4.490 4.490 2.811 Å, 90.00 90.00 120.00°
Element x y z (fractional)
Cu: 0.000 0.000 0.000
Hg: 0.667 0.333 0.003
W: 0.333 0.667 0.502

---

Entry 7:
Compound: Ge2BTe
Source: Alexandria
Functional: GGA-PBE
Structure: relaxed

Output
SG: No. 225
magnetic moment: 0.0 Bohr magnetons per cell
energy relative to the elements, uncorrected: 1.128 eV/atom
crystal system: cubic
distance to the lowest polymorph of the same formula: 3.39 eV/f.u.

Cell: 4.779 4.779 4.779 Å, 60.00 60.00 60.00°
Element x y z (fractional)
Ge: 0.250 0.250 0.250
Ge: 0.750 0.750 0.750
B: 0.000 0.000 0.000
Te: 0.500 0.500 0.500

---

Entry 8:
Compound: GaCuAsPd2
Source: Alexandria
Functional: GGA-PBE
Structure: relaxed

Output
SG: No. 123
magnetic moment: 0.0 Bohr magnetons per cell
final energy: -4.02 eV per atom
crystal system: tetragonal

Cell: 4.787 4.787 4.270 Å, 90.00 90.00 90.00°
Element x y z (fractional)
Ga: 0.000 0.000 0.000
Cu: 0.500 0.500 0.500
As: 0.500 0.500 0.000
Pd: 0.000 0.500 0.500
Pd: 0.500 0.000 0.500

---

> Look up the magnetic moment of the fifth one.

0.0 Bohr magnetons per cell